No. 1
The following is a PBE-GGA calculation of crystalline Tb2Al7Au12 at its relaxed geometry, from the Alexandria database.

The structure in CIF format:
```
data_Tb2Al7Au12
_chemical_formula_sum 'Tb2 Al7 Au12'
_symmetry_space_group_name_H-M 'P -3'
_symmetry_Int_Tables_number 147
_cell_length_a 10.5643
_cell_length_b 10.5643
_cell_length_c 4.0985
_cell_angle_alpha 90.00
_cell_angle_beta 90.00
_cell_angle_gamma 120.00
loop_
_symmetry_equiv_pos_as_xyz
'x,y,z'
'-x,-y,-z'
'-y,x-y,z'
'y,-x+y,-z'
'-x+y,-x,z'
'x-y,x,-z'
loop_
_atom_site_label
_atom_site_fract_x
_atom_site_fract_y
_atom_site_fract_z
Tb1 0.3333 0.6667 0.2444
Al1 0.0000 0.0000 0.5000
Al2 0.1025 0.7021 0.7407
Au1 0.0842 0.4556 0.7544
Au2 0.1283 0.2620 0.2383
```

Values from the calculation:
M_tot: 0.00 μB/f.u.
N(E_F): 5.8 states/eV/cell
electronic total energy: -4.06 eV per atom
DFT formation energy: -48.2 kJ per mole of atoms
density: 12.03 g cm⁻³

No. 2
The following is a PBE-GGA calculation of crystalline Tb2Al6Au3 at its relaxed geometry, from the Alexandria database.

The structure in CIF format:
```
data_Tb2Al6Au3
_chemical_formula_sum 'Tb2 Al6 Au3'
_symmetry_space_group_name_H-M 'P -6 2 m'
_symmetry_Int_Tables_number 189
_symmetry_space_group_name_Hall 'P -6 -2'
_cell_length_a 7.8485
_cell_length_b 7.8485
_cell_length_c 4.1378
_cell_angle_alpha 90.00
_cell_angle_beta 90.00
_cell_angle_gamma 120.00
loop_
_atom_site_label
_atom_site_fract_x
_atom_site_fract_y
_atom_site_fract_z
Tb1 0.3333 0.6667 0.0000
Al1 0.0000 0.3019 0.5000
Al2 0.0000 0.8086 0.0000
Au1 0.0000 0.6251 0.5000
```

Values from the calculation:
M_tot: 0.00 μB/f.u.
N(E_F): 3.4 states/eV/cell
electronic total energy: -4.37 eV per atom
DFT formation energy: -57.5 kJ per mole of atoms
density: 8.05 g cm⁻³

No. 3
The following is a PBE-GGA calculation of crystalline Tb2Al3Au5 at its relaxed geometry, from the Alexandria database.

The structure in CIF format:
```
data_Tb2Al3Au5
_chemical_formula_sum 'Tb8 Al12 Au20'
_symmetry_space_group_name_H-M 'C m c 21'
_symmetry_Int_Tables_number 36
_cell_length_a 4.4957
_cell_length_b 24.7471
_cell_length_c 7.0872
_cell_angle_alpha 90.00
_cell_angle_beta 90.00
_cell_angle_gamma 90.00
loop_
_symmetry_equiv_pos_as_xyz
'x,y,z'
'-x,-y,z+1/2'
'-x,y,z'
'x,-y,z+1/2'
'x+1/2,y+1/2,z'
'-x+1/2,-y+1/2,z+1/2'
'-x+1/2,y+1/2,z'
'x+1/2,-y+1/2,z+1/2'
loop_
_atom_site_label
_atom_site_fract_x
_atom_site_fract_y
_atom_site_fract_z
Tb1 0.0000 0.0192 0.0000
Tb2 0.0000 0.3230 0.9990
Al1 0.0000 0.1027 0.3219
Al2 0.0000 0.2753 0.4739
Al3 0.0000 0.4465 0.1895
Au1 0.0000 0.1055 0.6946
Au2 0.0000 0.1997 0.1880
Au3 0.0000 0.2169 0.7737
Au4 0.0000 0.3812 0.4907
Au5 0.0000 0.4522 0.8078
```

Values from the calculation:
energy relative to the lowest polymorph listed for this composition: 0.20 kJ per mole of atoms
M_tot: 0.00 μB/f.u.
N(E_F): 19.8 states/eV/cell
electronic total energy: -4.35 eV per atom
DFT formation energy: -63.6 kJ per mole of atoms
density: 11.66 g cm⁻³

What is the formula in the third record?
Tb2Al3Au5